{"formula": "Er2Th2SiIr4", "functional": "GGA-PBE", "state": "relaxed", "energy_ev_per_cell": -68.5, "volume_a3_per_cell": 193.4, "raw_formation_energy_kcal_per_mol_atoms": -9.42, "space_group": "No. 139", "cell": [[-3.216, 3.216, 4.675], [3.216, -3.216, 4.675], [3.216, 3.216, -4.675]], "species": ["Er", "Er", "Th", "Th", "Si", "Ir", "Ir", "Ir", "Ir"], "fractional_positions": [[0.250, 0.750, 0.500], [0.750, 0.250, 0.500], [0.192, 0.192, 0.000], [0.808, 0.808, 0.000], [0.500, 0.500, 0.000], [0.242, 0.242, 0.484], [0.242, 0.758, 0.000], [0.758, 0.242, 0.000], [0.758, 0.758, 0.516]]}

=====

{"formula": "LiCe3Pr4Te8", "functional": "GGA-PBE", "state": "relaxed", "energy_ev_per_cell": -86.2, "volume_a3_per_cell": 514.3, "raw_formation_energy_kcal_per_mol_atoms": -32.01, "space_group": "No. 166", "cell": [[4.489, 2.592, 7.366], [-4.489, 2.592, 7.366], [0.000, -5.184, 7.366]], "species": ["Li", "Ce", "Ce", "Ce", "Pr", "Pr", "Pr", "Pr", "Te", "Te", "Te", "Te", "Te", "Te", "Te", "Te"], "fractional_positions": [[0.000, 0.000, 0.000], [0.000, 0.500, 0.500], [0.500, 0.000, 0.500], [0.500, 0.500, 0.000], [0.000, 0.000, 0.500], [0.000, 0.500, 0.000], [0.500, 0.000, 0.000], [0.500, 0.500, 0.500], [0.243, 0.243, 0.756], [0.243, 0.756, 0.243], [0.244, 0.757, 0.757], [0.251, 0.251, 0.251], [0.749, 0.749, 0.749], [0.756, 0.243, 0.243], [0.757, 0.244, 0.757], [0.757, 0.757, 0.244]]}

=====

{"formula": "ScGe2BiPd", "functional": "GGA-PBE", "state": "relaxed", "energy_ev_per_cell": -22.7, "volume_a3_per_cell": 128.4, "formation_energy_ev_per_fu": 1.95, "space_group": "No. 123", "cell": [[5.115, 0.000, 0.000], [0.000, 5.115, 0.000], [0.000, 0.000, 4.907]], "species": ["Sc", "Ge", "Ge", "Bi", "Pd"], "fractional_positions": [[0.000, 0.000, 0.000], [0.000, 0.500, 0.000], [0.500, 0.000, 0.000], [0.500, 0.500, 0.500], [0.000, 0.000, 0.500]]}

=====

{"formula": "Cs4Ge2H", "functional": "GGA-PBE", "state": "relaxed", "energy_ev_per_cell": -16.0, "volume_a3_per_cell": 413.9, "space_group": "No. 139", "cell": [[-3.617, 3.617, 7.910], [3.617, -3.617, 7.910], [3.617, 3.617, -7.910]], "species": ["Cs", "Cs", "Cs", "Cs", "Ge", "Ge", "H"], "fractional_positions": [[0.000, 0.500, 0.500], [0.190, 0.190, 0.000], [0.500, 0.000, 0.500], [0.810, 0.810, 0.000], [0.427, 0.427, 0.000], [0.573, 0.573, 0.000], [0.000, 0.000, 0.000]]}

=====

{"formula": "Cs2Hg7Au2", "functional": "GGA-PBE", "state": "relaxed", "energy_ev_per_cell": -12.4, "volume_a3_per_cell": 366.6, "formation_energy_ev_per_fu": -1.98, "space_group": "No. 12", "cell": [[6.523, -4.537, 0.000], [6.523, 4.537, 0.000], [-3.918, 0.000, 6.193]], "species": ["Cs", "Cs", "Hg", "Hg", "Hg", "Hg", "Hg", "Hg", "Hg", "Au", "Au"], "fractional_positions": [[0.245, 0.755, 0.000], [0.755, 0.245, 0.000], [0.000, 0.000, 0.500], [0.168, 0.540, 0.383], [0.241, 0.241, 0.953], [0.460, 0.832, 0.617], [0.540, 0.168, 0.383], [0.759, 0.759, 0.047], [0.832, 0.460, 0.617], [0.237, 0.237, 0.548], [0.763, 0.763, 0.452]]}

=====

{"formula": "CuIr2Cl", "functional": "GGA-PBE", "state": "relaxed", "relative_energy_ev_per_fu": 3.30, "energy_ev_per_cell": -38.5, "volume_a3_per_cell": 125.5, "raw_formation_energy_kcal_per_mol_atoms": 25.49, "space_group": "No. 122", "cell": [[-3.456, 3.456, 2.626], [3.456, -3.456, 2.626], [3.456, 3.456, -2.626]], "species": ["Cu", "Cu", "Ir", "Ir", "Ir", "Ir", "Cl", "Cl"], "fractional_positions": [[0.000, 0.000, 0.000], [0.750, 0.250, 0.500], [0.160, 0.625, 0.035], [0.375, 0.410, 0.535], [0.590, 0.125, 0.965], [0.875, 0.840, 0.465], [0.250, 0.750, 0.500], [0.500, 0.500, 0.000]]}

=====

{"formula": "CaZr2Br", "functional": "GGA-PBE", "state": "relaxed", "relative_energy_ev_per_fu": 0.70, "energy_ev_per_cell": -21.3, "volume_a3_per_cell": 101.2, "raw_formation_energy_kcal_per_mol_atoms": -3.05, "space_group": "No. 71", "cell": [[-1.636, 2.526, 6.124], [1.636, -2.526, 6.124], [1.636, 2.526, -6.124]], "species": ["Ca", "Zr", "Zr", "Br"], "fractional_positions": [[0.000, 0.000, 0.000], [0.282, 0.782, 0.500], [0.718, 0.218, 0.500], [0.500, 0.500, 0.000]]}

=====

{"formula": "Sc4ZnCuPd2", "functional": "GGA-PBE", "state": "relaxed", "energy_ev_per_cell": -46.0, "volume_a3_per_cell": 145.5, "formation_energy_ev_per_fu": -4.88, "space_group": "No. 166", "cell": [[2.340, 1.351, 7.666], [-2.340, 1.351, 7.666], [0.000, -2.703, 7.666]], "species": ["Sc", "Sc", "Sc", "Sc", "Zn", "Cu", "Pd", "Pd"], "fractional_positions": [[0.123, 0.123, 0.123], [0.373, 0.373, 0.373], [0.627, 0.627, 0.627], [0.877, 0.877, 0.877], [0.500, 0.500, 0.500], [0.000, 0.000, 0.000], [0.248, 0.248, 0.248], [0.752, 0.752, 0.752]]}